[1]
Here is a geometry-optimized CaCd4Ni structure from the Alexandria database. Energies are from PBE.

Lattice parameters (Å, degrees): 8.701 4.165 7.326 90.00 90.00 90.00
Space group Pmma (No. 51)
Unique sites:
Ca  0.250  0.000  0.093
Cd  0.000  0.000  0.500
Cd  0.061  0.500  0.810
Cd  0.250  0.500  0.443
Ni  0.250  0.000  0.700

## Properties
The total energy comes out at -2.0881 eV per atom. Its density of states at the Fermi level is 6.048 states/eV/cell. The value obtained for the calculated volume is 22.1 Å³ per atom. As for the energy above the most stable polymorph in this dataset: 0.0000 eV/atom. The formation energy is -0.18 eV/atom.

=====

[2]
Here is a geometry-optimized HfNbAs structure from the Alexandria database. Energies are from PBE.

Lattice parameters (Å, degrees): 11.272 3.614 5.490 90.00 91.53 90.00
Space group Cm (No. 8)
Unique sites:
Hf  0.000  0.000  0.000
Hf  0.202  0.500  0.269
Nb  0.194  0.500  0.766
Nb  0.396  0.000  0.520
As  0.064  0.000  0.504
As  0.329  0.000  0.011

## Properties
The total energy comes out at -8.8064 eV per atom. Its density of states at the Fermi level is 7.732 states/eV/cell. The value obtained for the calculated volume is 18.6 Å³ per atom. The formation energy is -0.58 eV/atom.

=====

[3]
Here is a geometry-optimized La2ZrCl structure from the Alexandria database. Energies are from PBE.

Lattice parameters (Å, degrees): 7.652 7.652 7.652 90.00 90.00 90.00
Space group F-43m (No. 216)
Unique sites:
La  0.000  0.000  0.000
La  0.250  0.250  0.250
Zr  0.000  0.000  0.500
Cl  0.250  0.250  0.750

## Properties
The total energy comes out at -4.8806 eV per atom. Its density of states at the Fermi level is 26.672 states/eV/cell. The value obtained for the calculated volume is 28.0 Å³ per atom. For the uncorrected formation energy, the calculation gives 0.182 eV/atom. As for the energy above the most stable polymorph in this dataset: 0.7611 eV/atom.

=====

[4]
Here is a geometry-optimized PuHf3In structure from the Alexandria database. Energies are from PBE.

Lattice parameters (Å, degrees): 5.238 14.378 6.396 90.00 90.00 90.00
Space group Cmcm (No. 63)
Unique sites:
Pu  0.000  0.122  0.250
Hf  0.000  0.130  0.750
Hf  0.000  0.311  0.503
In  0.000  0.493  0.250

## Properties
The total energy comes out at -9.2863 eV per atom. Its density of states at the Fermi level is 42.975 states/eV/cell. The value obtained for the calculated volume is 24.1 Å³ per atom. The formation energy is 0.10 eV/atom.

=====

[5]
Here is a geometry-optimized CaLa2Ag structure from the Alexandria database. Energies are from PBE.

Lattice parameters (Å, degrees): 3.927 5.745 11.503 90.00 90.00 90.00
Space group Imm2 (No. 44)
Unique sites:
Ca  0.000  0.000  0.000
La  0.000  0.000  0.429
La  0.000  0.500  0.207
Ag  0.000  0.500  0.707

## Properties
The total energy comes out at -3.7324 eV per atom. Its density of states at the Fermi level is 9.972 states/eV/cell. The value obtained for the calculated volume is 32.4 Å³ per atom. As for the energy above the most stable polymorph in this dataset: 0.0361 eV/atom. The formation energy is -0.06 eV/atom.

=====

[6]
Here is a geometry-optimized HfThN structure from the Alexandria database. Energies are from PBE.

Lattice parameters (Å, degrees): 11.950 3.300 8.483 90.00 130.62 90.00
Space group C2/m (No. 12)
Unique sites:
Hf  0.223  0.000  0.130
Th  0.069  0.000  0.374
N  0.118  0.500  0.909

## Properties
The total energy comes out at -9.3367 eV per atom. Its density of states at the Fermi level is 10.886 states/eV/cell. The value obtained for the calculated volume is 21.2 Å³ per atom. For the uncorrected formation energy, the calculation gives -0.771 eV/atom. As for the energy above the most stable polymorph in this dataset: 0.1185 eV/atom.

=====

[7]
Here is a geometry-optimized NbIn2Ir structure from the Alexandria database. Energies are from PBE.

Lattice parameters (Å, degrees): 6.676 6.676 6.676 90.00 90.00 90.00
Space group Fm-3m (No. 225)
Unique sites:
Nb  0.000  0.000  0.000
In  0.250  0.250  0.250
Ir  0.000  0.000  0.500

## Properties
The total energy comes out at -5.9398 eV per atom. Its density of states at the Fermi level is 6.839 states/eV/cell. The value obtained for the calculated volume is 18.6 Å³ per atom. The formation energy is 0.16 eV/atom.

=====

[8]
Here is a geometry-optimized Cu2HgPt2 structure from the Alexandria database. Energies are from PBE.

Lattice parameters (Å, degrees): 3.766 3.766 11.915 90.00 90.00 90.00
Space group I4/mmm (No. 139)
Unique sites:
Cu  0.000  0.000  0.100
Hg  0.000  0.000  0.500
Pt  0.000  0.500  0.250

## Properties
The total energy comes out at -3.9369 eV per atom. Its density of states at the Fermi level is 7.335 states/eV/cell. The value obtained for the calculated volume is 16.9 Å³ per atom. As for the energy above the most stable polymorph in this dataset: 0.1897 eV/atom. The formation energy is 0.18 eV/atom.